Entry from the Alexandria database: a geometry-optimized MgMnAs2 structure (PBE).

Properties
For the mass density, the calculation gives 5346 kg/m3. The calculation puts the density of states at the Fermi level at 2.378 states/eV/f.u. The energy of formation from the pure elements is -0.1 eV/f.u.

Unit cell a=4.4488 b=4.4488 c=3.5951 alpha=90.00 beta=90.00 gamma=90.00
Closest atoms and distances in Å follow each position.
Fractional coordinates of all 4 atoms:
Mg1 0.0000 0.0000 0.0000  8 As 2.86, 4 Mn 3.15
Mn1 0.5000 0.5000 0.0000  8 As 2.86, 4 Mg 3.15
As1 0.0000 0.5000 0.5000  4 Mg 2.86, 4 Mn 2.86, 4 As 3.15
As2 0.5000 0.0000 0.5000  4 Mg 2.86, 4 Mn 2.86, 4 As 3.15